# 1
The following is a SCAN calculation of a crystal of Na3CuPCO7 relaxed with PBEsol, from Alexandria via LeMat-Bulk.

* final energy: -9.0436 eV per atom
* magnetic moment: 1.9 μB per cell
* polymorph energy (0 for the lowest one): 21 meV/atom

Cell lengths 5.3940, 6.2798, 8.9519 Å; angles 90.00, 90.86, 90.00 degrees
Last column: nearest neighbours and their distance in Å.
Fractional positions:
Na1 0.0018 0.0000 0.0027  6 O 2.31-2.47
Na2 0.4495 0.2641 0.1782  5 O 2.26-2.51
Na3 0.4972 0.9838 0.4888  3 O 2.24-2.47
Na4 0.5028 0.4838 0.5112  3 O 2.24-2.47
Na5 0.5505 0.7641 0.8218  5 O 2.26-2.51
Na6 0.9982 0.5000 0.9973  6 O 2.31-2.47
Cu1 0.0853 0.7431 0.3128  4 O 1.96-1.98
Cu2 0.9147 0.2431 0.6872  4 O 1.96-1.98
P1 0.0032 0.7437 0.6394  4 O 1.53-1.57
P2 0.9968 0.2437 0.3606  4 O 1.53-1.57
C1 0.4910 0.7463 0.1243  3 O 1.28-1.31
C2 0.5090 0.2463 0.8757  3 O 1.28-1.31
O1 0.0836 0.4389 0.2659  1 P 1.57
O2 0.0942 0.0493 0.2688  1 P 1.57
O3 0.1375 0.2465 0.5140  1 P 1.56
O4 0.2814 0.2499 0.9157  1 C 1.28
O5 0.2845 0.7410 0.6215  1 P 1.53
O6 0.3121 0.7484 0.0271  1 C 1.29
O7 0.4392 0.7384 0.2668  1 C 1.31
O8 0.5608 0.2384 0.7332  1 C 1.31
O9 0.6879 0.2484 0.9729  1 C 1.29
O10 0.7155 0.2410 0.3785  1 P 1.53
O11 0.7186 0.7499 0.0843  1 C 1.28
O12 0.8625 0.7465 0.4860  1 P 1.56
O13 0.9058 0.5493 0.7312  1 P 1.57
O14 0.9164 0.9389 0.7341  1 P 1.57

=====

# 2
The following is a SCAN calculation of a crystal of Na3CuPCO7 relaxed with PBEsol, from Alexandria via LeMat-Bulk.

* final energy: -9.0643 eV per atom
* magnetic moment: 2.0 μB per cell
* polymorph energy (0 for the lowest one): 0 meV/atom

Cell lengths 5.1599, 6.4263, 9.0425 Å; angles 90.00, 91.51, 90.00 degrees
Last column: nearest neighbours and their distance in Å.
Fractional positions:
Na1 0.2208 0.2500 0.0913  4 O 2.28-2.41
Na2 0.2431 0.0009 0.7374  4 O 2.23-2.43
Na3 0.2431 0.4991 0.7374  4 O 2.23-2.43
Na4 0.7569 0.5009 0.2626  4 O 2.23-2.43
Na5 0.7569 0.9991 0.2626  4 O 2.23-2.43
Na6 0.7792 0.7500 0.9087  4 O 2.28-2.41
Cu1 0.2320 0.7500 0.3562  4 O 1.93-2.01
Cu2 0.7680 0.2500 0.6438  4 O 1.93-2.01
P1 0.3167 0.2500 0.4207  4 O 1.52-1.57
P2 0.6833 0.7500 0.5793  4 O 1.52-1.57
C1 0.2872 0.7500 0.0586  3 O 1.28-1.31
C2 0.7128 0.2500 0.9414  3 O 1.28-1.31
O1 0.0922 0.7500 0.1488  1 C 1.31
O2 0.1812 0.2500 0.5682  1 P 1.52
O3 0.2344 0.7500 0.9180  1 C 1.29
O4 0.2439 0.0592 0.3208  1 P 1.56
O5 0.2439 0.4408 0.3208  1 P 1.56
O6 0.3811 0.7500 0.5546  1 P 1.57
O7 0.4790 0.2500 0.8901  1 C 1.28
O8 0.5210 0.7500 0.1099  1 C 1.28
O9 0.6189 0.2500 0.4454  1 P 1.57
O10 0.7561 0.5592 0.6792  1 P 1.56
O11 0.7561 0.9408 0.6792  1 P 1.56
O12 0.7656 0.2500 0.0820  1 C 1.29
O13 0.8188 0.7500 0.4318  1 P 1.52
O14 0.9078 0.2500 0.8512  1 C 1.31